La6Ge2N (GGA-PBE, relaxed); SG = P2_1/c; formation energy from raw total energies = -722 meV/atom; total magnetization = 0.000 μB per atom; energy = -5.9586 eV per atom; theoretical density = 6.29 Mg/m³
1.0
-2.600 5.108 3.288
-5.267 1.279 -6.153
-6.529 -5.620 4.421
La N Ge
12 2 4
Cartesian
-3.138 3.209 0.999 La
-5.467 -2.067 1.141 La
-12.270 1.512 0.293 La
-8.437 -4.066 2.633 La
-8.931 2.834 0.416 La
-5.459 1.223 -0.939 La
-5.960 4.833 -1.077 La
-8.938 -0.456 2.495 La
-11.259 -2.442 0.557 La
-8.900 -0.294 -1.650 La
-2.127 -0.745 1.264 La
-5.497 1.061 3.206 La
-3.265 -2.810 2.211 N
-3.934 3.194 -1.432 N
-6.171 3.790 1.822 Ge
-8.227 -3.023 -0.265 Ge
-7.724 2.696 -2.540 Ge
-6.673 -1.929 4.096 Ge